1.
5
Lattice="4.887 0.000 0.000 0.000 4.887 0.000 0.000 0.000 3.882" Properties=species:S:1:pos:R:3 comment="KLiTaMn2 (PBE, optimized geometry)" ef_ev_per_atom=1.856 pbc="T T T"
K 0.000 0.000 0.000
Li 0.000 0.000 1.941
Ta 2.443 2.443 1.941
Mn 0.000 2.443 0.000
Mn 2.443 0.000 0.000



2.
15
Lattice="7.710 -4.446 0.000 7.710 4.446 0.000 -5.142 0.000 7.871" Properties=species:S:1:pos:R:3 comment="Rb3Na3HgBr8 (PBE, optimized geometry)" e_form_raw_mev_per_atom=-1394 pbc="T T T"
Rb 0.000 0.000 0.000
Rb 3.855 2.223 0.000
Rb 3.855 -2.223 0.000
Na 1.284 2.223 3.935
Na 1.284 -2.223 3.935
Na 5.139 0.000 3.935
Hg -2.571 0.000 3.935
Br -0.134 0.000 5.512
Br 3.920 2.333 5.515
Br 6.358 2.333 2.355
Br 2.566 0.000 2.268
Br 7.712 0.000 5.603
Br 3.920 -2.333 5.515
Br 6.358 -2.333 2.355
Br 10.412 0.000 2.359



3.
5
Lattice="4.238 0.000 0.000 0.000 4.238 0.000 0.000 0.000 4.758" Properties=species:S:1:pos:R:3 comment="Hf2ScSO (PBE, optimized geometry)" e_form_raw_mev_per_atom=-902 pbc="T T T"
Hf 0.000 2.119 0.000
Hf 2.119 0.000 0.000
Sc 0.000 0.000 2.379
S 2.119 2.119 2.379
O 0.000 0.000 0.000



4.
10
Lattice="4.057 0.000 0.000 0.000 4.057 0.000 0.000 0.000 9.744" Properties=species:S:1:pos:R:3 comment="Dy2CoNi3Ge4 (PBE, optimized geometry)" ef_ev_per_atom=-0.665 pbc="T T T"
Dy 0.000 2.028 2.426
Dy 2.028 0.000 7.318
Co 2.028 2.028 0.000
Ni 0.000 0.000 0.000
Ni 0.000 2.028 6.133
Ni 2.028 0.000 3.611
Ge 0.000 0.000 4.872
Ge 0.000 2.028 8.481
Ge 2.028 0.000 1.262
Ge 2.028 2.028 4.872



5.
4
Lattice="3.617 0.000 0.000 0.000 4.237 0.000 0.000 0.000 5.855" Properties=species:S:1:pos:R:3 comment="SrTcAs2 (PBE, optimized geometry)" polymorph_energy_ev_per_fu=0.97 ef_ev_per_atom=-0.201 pbc="T T T"
Sr 0.000 0.000 0.000
Tc 1.808 0.000 2.928
As 1.808 2.118 1.613
As 1.808 2.118 4.242



6.
10
Lattice="3.671 0.000 0.000 -1.818 9.473 0.000 -0.003 -2.946 9.898" Properties=species:S:1:pos:R:3 comment="La5NdDy4 (PBE, optimized geometry)" polymorph_energy_ev_per_fu=0.00 ef_ev_per_atom=0.015 pbc="T T T"
La 0.000 0.000 0.000
La 0.006 3.496 0.995
La 0.012 5.512 6.886
La 1.838 1.015 3.012
La 1.844 3.031 8.902
Nd -0.002 -1.473 4.949
Dy 0.005 2.017 5.936
Dy 0.014 6.951 2.018
Dy 1.836 -0.425 7.880
Dy 1.845 4.510 3.962



7.
4
Lattice="0.000 3.628 3.628 3.628 0.000 3.628 3.628 3.628 0.000" Properties=species:S:1:pos:R:3 comment="NdDyAlCu (PBE, optimized geometry)" ef_ev_per_atom=-0.237 pbc="T T T"
Nd 0.000 0.000 0.000
Dy 3.628 3.628 3.628
Al 1.814 1.814 1.814
Cu 5.442 5.442 5.442



8.
12
Lattice="6.796 0.000 0.000 0.000 9.465 0.000 0.000 0.000 5.483" Properties=species:S:1:pos:R:3 comment="TbDyY2Sc2 (PBE, optimized geometry)" ef_ev_per_atom=0.075 pbc="T T T"
Tb 0.000 0.000 0.000
Tb 3.398 4.733 2.742
Dy 0.000 4.733 2.742
Dy 3.398 0.000 0.000
Y 1.701 1.573 2.742
Y 1.697 6.306 0.000
Y 5.099 3.159 0.000
Y 5.095 7.892 2.742
Sc 1.699 3.150 0.000
Sc 1.699 7.883 2.742
Sc 5.097 1.583 2.742
Sc 5.097 6.316 0.000



no.,Fermi-level density of states (states/eV/f.u.),spin magnetization (Bohr magnetons per cell),total DFT energy (no corrections) (hartree per atom)
1,3.85,5.4,-0.1758
2,0.00,0.0,-0.1016
3,4.48,0.0,-0.2928
4,4.92,0.9,-0.2160
5,2.41,0.0,-0.2035
6,13.62,0.0,-0.1752
7,4.51,0.0,-0.1668
8,12.06,0.0,-0.2105